(1)
Sr3Pr2PaBi6: relaxed, PBE.

Unit cell a=8.146 b=8.146 c=8.218 alpha=99.54 beta=99.54 gamma=120.10
Sites, in units of the cell vectors:
Sr 0.172 0.828 0.500
Sr 0.828 0.172 0.500
Sr 0.500 0.500 0.500
Pr 0.334 0.666 0.000
Pr 0.666 0.334 0.000
Pa 0.000 0.000 0.000
Bi 0.924 0.603 0.772
Bi 0.757 0.757 0.231
Bi 0.076 0.397 0.228
Bi 0.603 0.924 0.772
Bi 0.243 0.243 0.769
Bi 0.397 0.076 0.228

**Mass density**: 7.6 Mg/m³
**Formation enthalpy at 0 K**: -72.6 kJ/mol of atoms
**Space group**: C2/m

(2)
TbPr2PaBi4: relaxed, PBE.

Unit cell a=4.552 b=7.893 c=7.920 alpha=109.25 beta=90.00 gamma=90.00
Site moments in Bohr magnetons follow the coordinates.
Sites, in units of the cell vectors:
Tb 0.000 0.000 0.000  0.00
Pr 0.500 0.000 0.500  0.02
Pr 0.000 0.500 0.500  0.01
Pa 0.500 0.500 0.000  0.90
Bi 0.500 0.248 0.239  -0.01
Bi 0.500 0.752 0.761  -0.01
Bi 0.000 0.254 0.760  -0.02
Bi 0.000 0.746 0.240  -0.02

**Mass density**: 9.3 Mg/m³
**Formation enthalpy at 0 K**: -68.8 kJ/mol of atoms
**Space group**: P2/m

(3)
Pr2TmPaBi4: relaxed, PBE.

Unit cell a=4.541 b=7.859 c=7.902 alpha=109.27 beta=90.00 gamma=90.00
Site moments in Bohr magnetons follow the coordinates.
Sites, in units of the cell vectors:
Pr 0.500 0.000 0.500  0.01
Pr 0.000 0.500 0.500  0.02
Tm 0.500 0.500 0.000  -0.01
Pa 0.000 0.000 0.000  0.89
Bi 0.500 0.248 0.238  -0.02
Bi 0.500 0.752 0.762  -0.02
Bi 0.000 0.255 0.764  -0.01
Bi 0.000 0.745 0.236  -0.01

**Mass density**: 9.5 Mg/m³
**Formation enthalpy at 0 K**: -66.1 kJ/mol of atoms
**Space group**: P2/m

(4)
PaBiPt2: relaxed, PBE.

Unit cell a=3.560 b=3.560 c=7.093 alpha=90.00 beta=90.00 gamma=90.00
Sites, in units of the cell vectors:
Pa 0.500 0.500 0.000
Bi 0.500 0.500 0.500
Pt 0.000 0.000 0.782
Pt 0.000 0.000 0.218

**Mass density**: 15.3 Mg/m³
**Formation enthalpy at 0 K**: -61.7 kJ/mol of atoms
**Space group**: P4/mmm

(5)
Pa3Bi4Pt3: relaxed, PBE.

Unit cell a=8.643 b=8.643 c=8.643 alpha=109.47 beta=109.47 gamma=109.47
Site moments in Bohr magnetons follow the coordinates.
Sites, in units of the cell vectors:
Pa 0.625 0.750 0.875  0.88
Pa 0.875 0.250 0.625  0.88
Pa 0.125 0.375 0.250  0.88
Pa 0.375 0.125 0.750  0.88
Pa 0.250 0.875 0.125  0.88
Pa 0.750 0.625 0.375  0.88
Bi 0.000 0.000 0.316  -0.01
Bi 0.500 0.316 0.500  -0.01
Bi 0.684 0.184 0.184  -0.01
Bi 0.000 0.000 0.816  -0.01
Bi 0.816 0.500 0.000  -0.01
Bi 0.500 0.816 0.500  -0.01
Bi 0.316 0.500 0.000  -0.01
Bi 0.184 0.684 0.684  -0.01
Pt 0.125 0.750 0.375  -0.01
Pt 0.375 0.250 0.125  -0.01
Pt 0.625 0.875 0.250  -0.01
Pt 0.875 0.625 0.750  -0.01
Pt 0.250 0.375 0.625  -0.01
Pt 0.750 0.125 0.875  -0.01

**Mass density**: 14.1 Mg/m³
**Formation enthalpy at 0 K**: -55.3 kJ/mol of atoms
**Space group**: I-43d

(6)
PaBiPt2: relaxed, PBE.

Unit cell a=4.957 b=4.957 c=4.957 alpha=60.00 beta=60.00 gamma=60.00
Sites, in units of the cell vectors:
Pa 0.000 0.000 0.000
Bi 0.500 0.500 0.500
Pt 0.250 0.250 0.250
Pt 0.750 0.750 0.750

**Mass density**: 16.0 Mg/m³
**Formation enthalpy at 0 K**: -61.7 kJ/mol of atoms
**Space group**: Fm-3m